Entry 1:
# PdPt4Pb (GGA-PBE, optimized geometry)
data_PdPt4Pb
_cell_length_a 5.3687
_cell_length_b 5.3687
_cell_length_c 5.3687
_cell_angle_alpha 60.00
_cell_angle_beta 60.00
_cell_angle_gamma 60.00
_symmetry_space_group_name_H-M 'P 1'
_symmetry_Int_Tables_number 1
loop_
_symmetry_equiv_pos_as_xyz
'x,y,z'
loop_
_atom_site_label
_atom_site_type_symbol
_atom_site_fract_x
_atom_site_fract_y
_atom_site_fract_z
_atom_site_occupancy
Pb1 Pb 0.0000 0.0000 0.0000 1
Pd1 Pd 0.2500 0.2500 0.2500 1
Pt1 Pt 0.6245 0.6245 0.1265 1
Pt2 Pt 0.6245 0.1265 0.6245 1
Pt3 Pt 0.6245 0.6245 0.6245 1
Pt4 Pt 0.1265 0.6245 0.6245 1
# * raw total energy: -33.03 eV per formula unit

Entry 2:
# Pd2Pt2Pb5 (GGA-PBE, optimized geometry)
data_Pd2Pt2Pb5
_cell_length_a 7.2096
_cell_length_b 7.2407
_cell_length_c 9.6514
_cell_angle_alpha 112.03
_cell_angle_beta 111.93
_cell_angle_gamma 90.00
_symmetry_space_group_name_H-M 'P 1'
_symmetry_Int_Tables_number 1
loop_
_symmetry_equiv_pos_as_xyz
'x,y,z'
loop_
_atom_site_label
_atom_site_type_symbol
_atom_site_fract_x
_atom_site_fract_y
_atom_site_fract_z
_atom_site_occupancy
Pd1 Pd 0.1047 0.6331 0.1706 1
Pd2 Pd 0.8953 0.4626 0.8294 1
Pd3 Pd 0.5658 0.1331 0.1706 1
Pd4 Pd 0.4342 0.9626 0.8294 1
Pt1 Pt 0.0000 0.8937 0.0000 1
Pt2 Pt 0.5000 0.3937 0.0000 1
Pt3 Pt 0.2437 0.4058 0.5000 1
Pt4 Pt 0.7563 0.9058 0.5000 1
Pb1 Pb 0.2622 0.6372 0.8561 1
Pb2 Pb 0.7378 0.7811 0.1439 1
Pb3 Pb 0.0939 0.1372 0.8561 1
Pb4 Pb 0.9061 0.2811 0.1439 1
Pb5 Pb 0.3289 0.0265 0.3069 1
Pb6 Pb 0.6711 0.7196 0.6931 1
Pb7 Pb 0.4780 0.5265 0.3069 1
Pb8 Pb 0.5220 0.2196 0.6931 1
Pb9 Pb 0.1231 0.7763 0.5000 1
Pb10 Pb 0.8770 0.2763 0.5000 1
# * raw total energy: -42.45 eV per formula unit

Entry 3:
# Pd5Pt6Pb (GGA-PBE, optimized geometry)
data_Pd5Pt6Pb
_cell_length_a 4.0079
_cell_length_b 7.4580
_cell_length_c 7.4580
_cell_angle_alpha 104.89
_cell_angle_beta 105.64
_cell_angle_gamma 105.64
_symmetry_space_group_name_H-M 'P 1'
_symmetry_Int_Tables_number 1
loop_
_symmetry_equiv_pos_as_xyz
'x,y,z'
loop_
_atom_site_label
_atom_site_type_symbol
_atom_site_fract_x
_atom_site_fract_y
_atom_site_fract_z
_atom_site_occupancy
Pb1 Pb 0.0000 0.0000 0.0000 1
Pt1 Pt 0.2548 0.0858 0.4240 1
Pt2 Pt 0.7452 0.5760 0.9142 1
Pt3 Pt 0.7618 0.2620 0.2620 1
Pt4 Pt 0.2382 0.7380 0.7380 1
Pt5 Pt 0.2548 0.4240 0.0858 1
Pt6 Pt 0.7452 0.9142 0.5760 1
Pd1 Pd 0.5000 0.1653 0.8347 1
Pd2 Pd 0.0000 0.3313 0.6687 1
Pd3 Pd 0.5000 0.5000 0.5000 1
Pd4 Pd 0.0000 0.6687 0.3313 1
Pd5 Pd 0.5000 0.8347 0.1653 1
# * raw total energy: -66.62 eV per formula unit

Entry 4:
# Pd3PtPb6 (GGA-PBE, optimized geometry)
data_Pd3PtPb6
_cell_length_a 7.2534
_cell_length_b 6.9250
_cell_length_c 9.7830
_cell_angle_alpha 90.00
_cell_angle_beta 84.33
_cell_angle_gamma 90.00
_symmetry_space_group_name_H-M 'P 1'
_symmetry_Int_Tables_number 1
loop_
_symmetry_equiv_pos_as_xyz
'x,y,z'
loop_
_atom_site_label
_atom_site_type_symbol
_atom_site_fract_x
_atom_site_fract_y
_atom_site_fract_z
_atom_site_occupancy
Pd1 Pd 0.5327 0.8206 0.7848 1
Pd2 Pd 0.5000 0.5000 0.0000 1
Pd3 Pd 0.4673 0.1794 0.2152 1
Pd4 Pd 0.0327 0.6794 0.2848 1
Pd5 Pd 0.0000 0.0000 0.5000 1
Pd6 Pd 0.9673 0.3206 0.7152 1
Pt1 Pt 0.5000 0.5000 0.5000 1
Pt2 Pt 0.0000 0.0000 0.0000 1
Pb1 Pb 0.6690 0.1508 0.9239 1
Pb2 Pb 0.6430 0.1479 0.5920 1
Pb3 Pb 0.6914 0.5127 0.2393 1
Pb4 Pb 0.3086 0.4873 0.7607 1
Pb5 Pb 0.3570 0.8521 0.4080 1
Pb6 Pb 0.3310 0.8492 0.0761 1
Pb7 Pb 0.1690 0.3492 0.4239 1
Pb8 Pb 0.1430 0.3521 0.0920 1
Pb9 Pb 0.1914 0.9873 0.7393 1
Pb10 Pb 0.8086 0.0127 0.2607 1
Pb11 Pb 0.8570 0.6479 0.9080 1
Pb12 Pb 0.8310 0.6508 0.5761 1
# * E above lowest polymorph: 0.0000 eV per atom
# * raw total energy: -45.44 eV per formula unit

Entry 5:
# Pd12Pt3Pb5 (GGA-PBE, optimized geometry)
data_Pd12Pt3Pb5
_cell_length_a 13.3789
_cell_length_b 13.3789
_cell_length_c 13.3789
_cell_angle_alpha 109.47
_cell_angle_beta 109.47
_cell_angle_gamma 109.47
_symmetry_space_group_name_H-M 'P 1'
_symmetry_Int_Tables_number 1
loop_
_symmetry_equiv_pos_as_xyz
'x,y,z'
loop_
_atom_site_label
_atom_site_type_symbol
_atom_site_fract_x
_atom_site_fract_y
_atom_site_fract_z
_atom_site_occupancy
Pt1 Pt 0.7500 0.3750 0.1250 1
Pt2 Pt 0.8750 0.7500 0.1250 1
Pt3 Pt 0.3750 0.7500 0.6250 1
Pt4 Pt 0.2500 0.1250 0.3750 1
Pt5 Pt 0.8750 0.1250 0.2500 1
Pt6 Pt 0.3750 0.6250 0.2500 1
Pt7 Pt 0.6250 0.3750 0.7500 1
Pt8 Pt 0.1250 0.8750 0.7500 1
Pt9 Pt 0.7500 0.8750 0.6250 1
Pt10 Pt 0.6250 0.2500 0.3750 1
Pt11 Pt 0.1250 0.2500 0.8750 1
Pt12 Pt 0.2500 0.6250 0.8750 1
Pb1 Pb 0.1250 0.3750 0.2500 1
Pb2 Pb 0.0000 0.5000 0.0000 1
Pb3 Pb 0.0000 0.0000 0.0000 1
Pb4 Pb 0.3750 0.2500 0.1250 1
Pb5 Pb 0.5000 0.0000 0.5000 1
Pb6 Pb 0.5000 0.5000 0.0000 1
Pb7 Pb 0.1250 0.7500 0.3750 1
Pb8 Pb 0.7500 0.1250 0.8750 1
Pb9 Pb 0.7500 0.6250 0.3750 1
Pb10 Pb 0.3750 0.1250 0.7500 1
Pb11 Pb 0.6250 0.8750 0.2500 1
Pb12 Pb 0.5000 0.5000 0.5000 1
Pb13 Pb 0.5000 0.0000 0.0000 1
Pb14 Pb 0.0000 0.0000 0.5000 1
Pb15 Pb 0.2500 0.3750 0.6250 1
Pb16 Pb 0.2500 0.8750 0.1250 1
Pb17 Pb 0.0000 0.5000 0.5000 1
Pb18 Pb 0.8750 0.2500 0.6250 1
Pb19 Pb 0.6250 0.7500 0.8750 1
Pb20 Pb 0.8750 0.6250 0.7500 1
Pd1 Pd 0.7311 0.1486 0.0749 1
Pd2 Pd 0.3438 0.5749 0.4263 1
Pd3 Pd 0.9251 0.3514 0.2689 1
Pd4 Pd 0.5749 0.2311 0.1486 1
Pd5 Pd 0.5825 0.7311 0.6562 1
Pd6 Pd 0.9251 0.5737 0.1562 1
Pd7 Pd 0.3438 0.7689 0.4175 1
Pd8 Pd 0.0737 0.9175 0.1486 1
Pd9 Pd 0.5737 0.9251 0.6562 1
Pd10 Pd 0.7311 0.5825 0.1562 1
Pd11 Pd 0.7689 0.4251 0.3514 1
Pd12 Pd 0.8438 0.9263 0.0749 1
Pd13 Pd 0.1486 0.7311 0.5749 1
Pd14 Pd 0.3514 0.4263 0.0825 1
Pd15 Pd 0.0825 0.9263 0.3514 1
Pd16 Pd 0.4175 0.1486 0.5737 1
Pd17 Pd 0.0825 0.1562 0.2311 1
Pd18 Pd 0.4251 0.6562 0.0737 1
Pd19 Pd 0.8438 0.9175 0.2689 1
Pd20 Pd 0.1486 0.4175 0.0737 1
Pd21 Pd 0.3514 0.9251 0.7689 1
Pd22 Pd 0.5737 0.6486 0.4175 1
Pd23 Pd 0.9263 0.8438 0.5749 1
Pd24 Pd 0.7689 0.3438 0.9175 1
Pd25 Pd 0.4263 0.3514 0.5825 1
Pd26 Pd 0.0737 0.1562 0.4251 1
Pd27 Pd 0.2311 0.6562 0.0825 1
Pd28 Pd 0.1562 0.0825 0.7311 1
Pd29 Pd 0.6486 0.0749 0.2311 1
Pd30 Pd 0.8514 0.5825 0.9263 1
Pd31 Pd 0.5749 0.3438 0.9263 1
Pd32 Pd 0.5825 0.8514 0.4263 1
Pd33 Pd 0.9175 0.8438 0.7689 1
Pd34 Pd 0.9175 0.0737 0.6486 1
Pd35 Pd 0.8514 0.2689 0.4251 1
Pd36 Pd 0.1562 0.0737 0.9251 1
Pd37 Pd 0.6486 0.5737 0.9175 1
Pd38 Pd 0.4263 0.0749 0.3438 1
Pd39 Pd 0.2689 0.4175 0.8438 1
Pd40 Pd 0.2311 0.5749 0.6486 1
Pd41 Pd 0.9263 0.0825 0.8514 1
Pd42 Pd 0.6562 0.2311 0.5825 1
Pd43 Pd 0.4251 0.7689 0.8514 1
Pd44 Pd 0.0749 0.4263 0.8438 1
Pd45 Pd 0.4175 0.2689 0.3438 1
Pd46 Pd 0.0749 0.6486 0.7311 1
Pd47 Pd 0.6562 0.4251 0.5737 1
Pd48 Pd 0.2689 0.8514 0.9251 1
# * raw total energy: -94.72 eV per formula unit

Entry 6:
# Pd2PtPb2 (GGA-PBE, optimized geometry)
data_Pd2PtPb2
_cell_length_a 7.2107
_cell_length_b 7.2107
_cell_length_c 3.9274
_cell_angle_alpha 90.00
_cell_angle_beta 90.00
_cell_angle_gamma 90.00
_symmetry_space_group_name_H-M 'P 1'
_symmetry_Int_Tables_number 1
loop_
_symmetry_equiv_pos_as_xyz
'x,y,z'
loop_
_atom_site_label
_atom_site_type_symbol
_atom_site_fract_x
_atom_site_fract_y
_atom_site_fract_z
_atom_site_occupancy
Pb1 Pb 0.1705 0.6705 0.5000 1
Pb2 Pb 0.6705 0.8295 0.5000 1
Pb3 Pb 0.8295 0.3295 0.5000 1
Pb4 Pb 0.3295 0.1705 0.5000 1
Pd1 Pd 0.3629 0.8629 0.0000 1
Pd2 Pd 0.8629 0.6371 0.0000 1
Pd3 Pd 0.6371 0.1371 0.0000 1
Pd4 Pd 0.1371 0.3629 0.0000 1
Pt1 Pt 0.0000 0.0000 0.0000 1
Pt2 Pt 0.5000 0.5000 0.0000 1
# * E above lowest polymorph: 0.0634 eV per atom
# * raw total energy: -24.21 eV per formula unit

Entry 7:
# Pd4PtPb (GGA-PBE, optimized geometry)
data_Pd4PtPb
_cell_length_a 4.9225
_cell_length_b 4.9566
_cell_length_c 4.9571
_cell_angle_alpha 60.00
_cell_angle_beta 81.34
_cell_angle_gamma 72.47
_symmetry_space_group_name_H-M 'P 1'
_symmetry_Int_Tables_number 1
loop_
_symmetry_equiv_pos_as_xyz
'x,y,z'
loop_
_atom_site_label
_atom_site_type_symbol
_atom_site_fract_x
_atom_site_fract_y
_atom_site_fract_z
_atom_site_occupancy
Pd1 Pd 0.0000 0.3351 0.3299 1
Pd2 Pd 0.5000 0.1699 0.6602 1
Pd3 Pd 0.0000 0.6649 0.6701 1
Pd4 Pd 0.5000 0.8301 0.3398 1
Pt1 Pt 0.5000 0.5000 0.0000 1
Pb1 Pb 0.0000 0.0000 0.0000 1
# * E above lowest polymorph: 0.0000 eV per atom
# * raw total energy: -31.51 eV per formula unit

Entry 8:
# Pd4Pt2Pb (GGA-PBE, optimized geometry)
data_Pd4Pt2Pb
_cell_length_a 4.8599
_cell_length_b 4.0449
_cell_length_c 7.6814
_cell_angle_alpha 58.09
_cell_angle_beta 95.99
_cell_angle_gamma 114.50
_symmetry_space_group_name_H-M 'P 1'
_symmetry_Int_Tables_number 1
loop_
_symmetry_equiv_pos_as_xyz
'x,y,z'
loop_
_atom_site_label
_atom_site_type_symbol
_atom_site_fract_x
_atom_site_fract_y
_atom_site_fract_z
_atom_site_occupancy
Pd1 Pd 0.8544 0.7209 0.2060 1
Pd2 Pd 0.1456 0.2791 0.7940 1
Pd3 Pd 0.5750 0.1389 0.6486 1
Pd4 Pd 0.4250 0.8611 0.3514 1
Pt1 Pt 0.7121 0.4204 0.9355 1
Pt2 Pt 0.2879 0.5796 0.0645 1
Pb1 Pb 0.0000 0.0000 0.5000 1
# * raw total energy: -37.61 eV per formula unit

no.,ΔE_f (eV/atom),calculated volume (Å³ per atom)
1,0.006,18.2
2,-0.161,23.7
3,-0.059,16.1
4,-0.157,24.4
5,0.213,23.0
6,-0.073,20.4
7,-0.165,16.6
8,-0.150,16.5